1.
Ba2NaGaRu | the Alexandria database | PBE-GGA | relaxed; VASP energy = -3.450 eV per atom; DFT formation energy = 43 meV per atom; total moment = 0.000 μB per atom
1.0
6.038 0.000 0.000
0.000 6.038 0.000
0.000 0.000 4.950
Ba Na Ga Ru
2 1 1 1
direct
0.000 0.500 0.000
0.500 0.000 0.000
0.000 0.000 0.500
0.500 0.500 0.500
0.500 0.500 0.000

2.
PuGaRuAu | the Alexandria database | PBE-GGA | relaxed; VASP energy = -7.590 eV per atom; DFT formation energy = -112 meV per atom; total moment = 1.124 μB per atom
1.0
6.687 0.000 0.000
0.000 6.687 0.000
0.000 0.000 6.687
Pu Ga Ru Au
4 4 4 4
direct
0.000 0.000 0.000
0.000 0.500 0.500
0.500 0.000 0.500
0.500 0.500 0.000
0.000 0.000 0.500
0.000 0.500 0.000
0.500 0.000 0.000
0.500 0.500 0.500
0.250 0.250 0.750
0.250 0.750 0.250
0.750 0.250 0.250
0.750 0.750 0.750
0.250 0.250 0.250
0.250 0.750 0.750
0.750 0.250 0.750
0.750 0.750 0.250

3.
GaSiRh | the Alexandria database | PBE-GGA | relaxed; VASP energy = -5.694 eV per atom; formation energy without anion corrections = -427 meV/atom; total moment = 0.000 μB per atom
1.0
5.798 0.000 0.000
0.000 5.798 0.000
0.000 0.000 5.798
Ga Si Rh
4 4 4
direct
0.000 0.000 0.000
0.000 0.500 0.500
0.500 0.000 0.500
0.500 0.500 0.000
0.000 0.000 0.500
0.000 0.500 0.000
0.500 0.000 0.000
0.500 0.500 0.500
0.250 0.250 0.250
0.250 0.750 0.750
0.750 0.250 0.750
0.750 0.750 0.250

4.
CrSbPb2 | the Alexandria database | PBE-GGA | relaxed; VASP energy = -4.883 eV per atom; formation energy without anion corrections = 408 meV/atom; total moment = 1.125 μB per atom
1.0
6.439 0.000 0.000
0.000 11.511 0.000
-1.809 0.000 2.942
Cr Sb Pb
2 2 4
direct
0.000 0.000 0.000
0.500 0.500 0.000
0.000 0.500 0.000
0.500 0.000 0.000
0.250 0.250 0.500
0.250 0.750 0.500
0.750 0.250 0.500
0.750 0.750 0.500

5.
CrFeAg | the Alexandria database | PBE-GGA | relaxed; VASP energy = -6.157 eV per atom; DFT formation energy = 822 meV per atom; total moment = 0.338 μB per atom; ΔE to the lowest computed polymorph = 0.414 eV per atom
1.0
5.916 0.000 0.000
0.000 5.916 0.000
0.000 0.000 5.916
Cr Fe Ag
4 4 4
direct
0.000 0.000 0.000
0.000 0.500 0.500
0.500 0.000 0.500
0.500 0.500 0.000
0.250 0.250 0.250
0.250 0.750 0.750
0.750 0.250 0.750
0.750 0.750 0.250
0.000 0.000 0.500
0.000 0.500 0.000
0.500 0.000 0.000
0.500 0.500 0.500

6.
Y2TiTe | the Alexandria database | PBE-GGA | relaxed; VASP energy = -5.977 eV per atom; formation energy without anion corrections = 14 meV/atom; total moment = 0.470 μB per atom
1.0
8.413 0.000 0.000
0.000 8.413 0.000
0.000 0.000 6.261
Y Ti Te
8 4 4
direct
0.240 0.750 0.125
0.250 0.240 0.875
0.250 0.260 0.375
0.260 0.750 0.625
0.740 0.250 0.625
0.750 0.740 0.375
0.750 0.760 0.875
0.760 0.250 0.125
0.000 0.000 0.500
0.000 0.500 0.750
0.500 0.000 0.250
0.500 0.500 0.000
0.000 0.000 0.000
0.000 0.500 0.250
0.500 0.000 0.750
0.500 0.500 0.500

7.
Pu4Ga16Os3 | the Alexandria database | PBE-GGA | relaxed; VASP energy = -6.414 eV per atom; DFT formation energy = -351 meV per atom; total moment = 0.904 μB per atom
1.0
6.171 0.000 0.000
0.000 6.171 0.000
0.000 0.000 11.215
Pu Ga Os
4 16 3
direct
0.000 0.500 0.190
0.000 0.500 0.810
0.500 0.000 0.190
0.500 0.000 0.810
0.000 0.000 0.202
0.000 0.000 0.798
0.214 0.214 0.000
0.214 0.786 0.000
0.250 0.250 0.379
0.250 0.250 0.621
0.250 0.750 0.379
0.250 0.750 0.621
0.500 0.500 0.222
0.500 0.500 0.778
0.750 0.250 0.379
0.750 0.250 0.621
0.750 0.750 0.379
0.750 0.750 0.621
0.786 0.214 0.000
0.786 0.786 0.000
0.000 0.500 0.500
0.500 0.000 0.500
0.500 0.500 0.000

8.
Dy3MgCd3 | the Alexandria database | PBE-GGA | relaxed; VASP energy = -2.723 eV per atom; DFT formation energy = -131 meV per atom; total moment = 0.066 μB per atom
1.0
5.181 -5.326 0.000
5.181 5.326 0.000
-0.014 0.000 6.927
Dy Mg Cd
6 2 6
direct
0.003 0.003 0.249
0.004 0.495 0.749
0.495 0.004 0.749
0.505 0.996 0.251
0.996 0.505 0.251
0.997 0.997 0.751
0.329 0.329 0.009
0.671 0.671 0.991
0.262 0.738 0.000
0.286 0.714 0.500
0.289 0.289 0.493
0.711 0.711 0.507
0.714 0.286 0.500
0.738 0.262 0.000